VASP calculation (PBE) on NdYTl6 after structural relaxation.

Summary:
**SG**: P4/mmm (123)
**Crystal system**: tetragonal
**Formation energy**: -0.28 eV/atom
**N(E_F)**: 2.7 states/eV/f.u.

Cell: 4.8067 4.8067 9.6041 Å, 90.00 90.00 90.00°
Fractional positions:
Nd  0.0000  0.0000  0.0000
Y  0.0000  0.0000  0.5000
Tl  0.5000  0.5000  0.0000
Tl  0.5000  0.5000  0.5000
Tl  0.5000  0.0000  0.2533
Tl  0.5000  0.0000  0.7467
Tl  0.0000  0.5000  0.2533
Tl  0.0000  0.5000  0.7467